1.
MgTaHg | PBE | relaxed

The structure belongs to space group P-6m2 (No. 187); the cell edges are 4.6743, 4.6743 and 3.0716 Å and the angles 90.00°, 90.00° and 120.00°. The inequivalent atoms are Mg at (0.0000, 0.0000, 0.0000), Ta at (0.3333, 0.6667, 0.5000) and Hg at (0.6667, 0.3333, 0.0000).

---

2.
MgTaHg | PBE | relaxed

The structure belongs to space group Fmm2 (No. 42); the cell edges are 4.144, 4.156 and 13.610 Å and the angles 90.00°, 90.00° and 90.00°. The inequivalent atoms are Mg at (0.000, 0.000, 0.000), Ta at (0.000, 0.000, 0.336) and Hg at (0.000, 0.000, 0.669).

---

3.
MgTaHg | PBE | relaxed

The structure belongs to space group F-43m (No. 216); the cell edges are 6.450, 6.450 and 6.450 Å and the angles 90.00°, 90.00° and 90.00°. The inequivalent atoms are Mg at (0.000, 0.000, 0.000), Ta at (0.000, 0.000, 0.500) and Hg at (0.250, 0.250, 0.750).

---

Of them, the most stable is 2 and the least stable is 3.

---

1.
MgTaHg | PBE | relaxed

The structure belongs to space group P3m1 (No. 156); the cell edges are 3.0331, 3.0331 and 7.5197 Å and the angles 90.00°, 90.00° and 120.00°. The inequivalent atoms are Mg at (0.0000, 0.0000, 0.0000), Ta at (0.3333, 0.6667, 0.3312) and Hg at (0.6667, 0.3333, 0.6666).

---

2.
MgTaHg | PBE | relaxed

The structure belongs to space group F-43m (No. 216); the cell edges are 6.579, 6.579 and 6.579 Å and the angles 90.00°, 90.00° and 90.00°. The inequivalent atoms are Mg at (0.000, 0.000, 0.000), Ta at (0.250, 0.250, 0.250) and Hg at (0.000, 0.000, 0.500).

---

Of them, the most stable is 1 and the least stable is 2.

---

1.
MgTa2Hg2 | PBE | relaxed

The structure belongs to space group I4/mmm (No. 139); the cell edges are 4.172, 4.172 and 13.074 Å and the angles 90.00°, 90.00° and 90.00°. The inequivalent atoms are Mg at (0.000, 0.000, 0.000), Ta at (0.000, 0.000, 0.407) and Hg at (0.000, 0.500, 0.250).

---

2.
MgTa2Hg2 | PBE | relaxed

The structure belongs to space group P4/mbm (No. 127); the cell edges are 8.263, 8.263 and 3.129 Å and the angles 90.00°, 90.00° and 90.00°. The inequivalent atoms are Mg at (0.000, 0.000, 0.000), Ta at (0.114, 0.386, 0.000) and Hg at (0.183, 0.683, 0.500).

---

Of them, the most stable is 2 and the least stable is 1.

---

1.
TbMg2Hg | PBE | relaxed

The structure belongs to space group Fm-3m (No. 225); the cell edges are 7.144, 7.144 and 7.144 Å and the angles 90.00°, 90.00° and 90.00°. The inequivalent atoms are Tb at (0.000, 0.000, 0.000), Mg at (0.250, 0.250, 0.250) and Hg at (0.000, 0.000, 0.500).

---

2.
TbMg2Hg | PBE | relaxed

The structure belongs to space group R-3m (No. 166, hexagonal axes); the cell edges are 3.2797, 3.2797 and 33.6618 Å and the angles 90.00°, 90.00° and 120.00°. The inequivalent atoms are Tb at (0.0000, 0.0000, 0.0000), Mg at (0.0000, 0.0000, 0.0961) and Hg at (0.0000, 0.0000, 0.5000).

---

Of them, the most stable is 1 and the least stable is 2.

---

1.
TbMg2Hg | PBE | relaxed

The structure belongs to space group P4/mmm (No. 123); the cell edges are 4.463, 4.463 and 4.877 Å and the angles 90.00°, 90.00° and 90.00°. The inequivalent atoms are Tb at (0.000, 0.000, 0.000), Mg at (0.000, 0.500, 0.500) and Hg at (0.500, 0.500, 0.000).

---

2.
TbMg2Hg | PBE | relaxed

The structure belongs to space group I-4m2 (No. 119); the cell edges are 5.116, 5.116 and 7.173 Å and the angles 90.00°, 90.00° and 90.00°. The inequivalent atoms are Tb at (0.000, 0.000, 0.000), Mg at (0.000, 0.000, 0.500), Mg at (0.000, 0.500, 0.750) and Hg at (0.000, 0.500, 0.250).

---

Of them, the most stable is 2 and the least stable is 1.

---

1.
TbMgHg2 | PBE | relaxed

The structure belongs to space group P4/mmm (No. 123); the cell edges are 5.062, 5.062 and 3.749 Å and the angles 90.00°, 90.00° and 90.00°. The inequivalent atoms are Tb at (0.000, 0.000, 0.000), Mg at (0.500, 0.500, 0.000) and Hg at (0.000, 0.500, 0.500).

---

2.
TbMgHg2 | PBE | relaxed

The structure belongs to space group P4/mmm (No. 123); the cell edges are 3.558, 3.558 and 7.411 Å and the angles 90.00°, 90.00° and 90.00°. The inequivalent atoms are Tb at (0.000, 0.000, 0.000), Mg at (0.000, 0.000, 0.500) and Hg at (0.500, 0.500, 0.270).

---

Of them, the most stable is 1 and the least stable is 2.